Record 1
# Fe2MoW

Fe2MoW at its PBEsol-relaxed geometry (meta-GGA SCAN, the Alexandria database).

Values from the calculation:
Calculated density, Mg/m³: 12.42
SG: P4/mmm (123)
Electronic total energy, eV for the cell shown: -140.13

abc: 2.9668 4.2007 4.2007
angles: 90.00 90.00 90.00
Each line ends with the local moment (μB).
Element x y z (fractional)
Fe 0.0000 0.0000 0.5000  2.20
Fe 0.0000 0.5000 0.0000  2.20
Mo 0.5000 0.5000 0.5000  -0.14
W 0.5000 0.0000 0.0000  -0.26



Record 2
# FeMo2W

FeMo2W at its PBEsol-relaxed geometry (meta-GGA SCAN, the Alexandria database).

Values from the calculation:
Calculated density, Mg/m³: 12.48
SG: Cmm2 (35)
E above lowest polymorph, eV per atom: 0.0000
Electronic total energy, eV for the cell shown: -157.29

abc: 2.6631 2.6631 8.5208
angles: 90.00 90.00 108.22
Each line ends with the local moment (μB).
Element x y z (fractional)
Mo 0.0000 0.0000 0.0130  -0.12
Mo 0.5000 0.5000 0.7509  0.01
Fe 0.5000 0.5000 0.2495  2.48
W 0.0000 0.0000 0.4867  -0.09



| no. | Fermi-level density of states (states/eV per atom) | total magnetic moment (μB per formula unit) |
| --- | --- | --- |
| 1 | 0.580 | 3.99 |
| 2 | 0.615 | 2.25 |